Record 1
LuZrFeSb | PBE | optimized geometry

- electronic total energy (Ry per atom) = -0.4603
- crystal system = cubic

Cell: 4.7665 4.7665 4.7665 Å, 60.00 60.00 60.00°
Closest atoms and distances in Å follow each position.
Element x y z (fractional)
1 Lu 0.0000 0.0000 0.0000  4 Zr 2.92, 4 Fe 2.92
2 Zr 0.2500 0.2500 0.2500  4 Sb 2.92, 4 Lu 2.92
3 Fe 0.7500 0.7500 0.7500  4 Sb 2.92, 4 Lu 2.92
4 Sb 0.5000 0.5000 0.5000  4 Zr 2.92, 4 Fe 2.92

***

Record 2
Dy2AgAu3 | PBE | optimized geometry

- electronic total energy (Ry per atom) = -0.3228
- crystal system = tetragonal

Cell: 3.7445 3.7445 9.1233 Å, 90.00 90.00 90.00°
Closest atoms and distances in Å follow each position.
Element x y z (fractional)
1 Dy 0.0000 0.0000 0.0000  9 Au 3.02-3.08, 1 Ag 3.03
2 Dy 0.5000 0.5000 0.4895  6 Au 2.99-3.10, 4 Ag 3.11
3 Ag 0.0000 0.0000 0.6680  5 Au 3.01-3.03, 5 Dy 3.03-3.11
4 Au 0.0000 0.0000 0.3376  5 Dy 2.99-3.08, 1 Ag 3.01, 4 Au 3.11
5 Au 0.5000 0.5000 0.1593  5 Dy 3.01-3.02, 5 Au 3.01-3.11
6 Au 0.5000 0.5000 0.8290  1 Au 3.01, 4 Ag 3.03, 5 Dy 3.07-3.10

***

Record 3
NaAuI4O12 | PBE | optimized geometry

- electronic total energy (Ry per atom) = -0.3156
- crystal system = triclinic

Cell: 5.3309 6.8795 8.0298 Å, 105.72 95.26 110.51°
Closest atoms and distances in Å follow each position.
Element x y z (fractional)
1 Na 0.0000 0.0000 0.0000  7 O 2.46-2.67
2 Au 0.2013 0.0037 0.4620  4 O 2.00-2.01
3 I 0.3301 0.6930 0.6879  3 O 1.83-1.94
4 I 0.3334 0.6434 0.1537  3 O 1.83-1.92
5 I 0.6428 0.3443 0.8444  3 O 1.85-1.91
6 I 0.7082 0.3145 0.3262  3 O 1.82-1.91
7 O 0.0261 0.3835 0.0788  1 I 1.85
8 O 0.0592 0.7682 0.5720  1 I 1.94, 1 Au 2.00
9 O 0.0887 0.7875 0.2183  1 I 1.92, 1 Au 2.00
10 O 0.1748 0.7146 0.8824  1 I 1.83
11 O 0.2861 0.2297 0.6991  1 I 1.91, 1 Au 2.00
12 O 0.3332 0.2355 0.3457  1 I 1.91, 1 Au 2.01
13 O 0.4679 0.6557 0.3757  1 I 1.83
14 O 0.4814 0.3055 0.0340  1 I 1.85
15 O 0.6109 0.9653 0.7628  1 I 1.84
16 O 0.6438 0.6217 0.8792  1 I 1.85
17 O 0.6973 0.0423 0.2149  1 I 1.82
18 O 0.8448 0.3353 0.5530  1 I 1.85